Record 1
Below is BaMgVF7 after structural relaxation, with properties calculated at the PBE with a Hubbard U level.

Structure (CIF):
```
data_BaMgVF7
_chemical_formula_sum 'Ba4 Mg4 V4 F28'
_cell_length_a 5.683
_cell_length_b 10.029
_cell_length_c 9.744
_cell_angle_alpha 90.00
_cell_angle_beta 93.23
_cell_angle_gamma 90.00
_symmetry_space_group_name_H-M 'P 1 21/c 1'
_symmetry_Int_Tables_number 14
loop_
_symmetry_equiv_pos_as_xyz
'x,y,z'
'-x,-y,-z'
'-x,y+1/2,-z+1/2'
'x,-y+1/2,z+1/2'
loop_
_atom_site_label
_atom_site_fract_x
_atom_site_fract_y
_atom_site_fract_z
_atom_site_occupancy
Ba1 0.234 0.177 0.001 1
Mg1 0.193 0.604 0.811 1
V1 0.306 0.612 0.188 1
F1 0.026 0.716 0.248 1
F2 0.112 0.541 0.628 1
F3 0.128 0.050 0.632 1
F4 0.241 0.688 0.000 1
F5 0.385 0.051 0.373 1
F6 0.387 0.544 0.369 1
F7 0.471 0.718 0.748 1
```

Calculated values
ρ in g cm⁻³: 4.14
VASP energy in eV/f.u.: -58.0

***

Record 2
Below is Ba2Mg3VF12 after structural relaxation, with properties calculated at the PBE with a Hubbard U level.

Structure (CIF):
```
data_Ba2Mg3VF12
_chemical_formula_sum 'Ba6 Mg9 V3 F36'
_cell_length_a 7.2688
_cell_length_b 7.2688
_cell_length_c 17.1603
_cell_angle_alpha 90.00
_cell_angle_beta 90.00
_cell_angle_gamma 120.00
_symmetry_space_group_name_H-M 'R -3 m'
_symmetry_Int_Tables_number 166
_symmetry_space_group_name_Hall '-R 3 2"'
loop_
_atom_site_label
_atom_site_fract_x
_atom_site_fract_y
_atom_site_fract_z
_atom_site_occupancy
Ba1 0.0000 0.0000 0.1183 1
Mg1 0.0000 0.5000 0.0000 1
V1 0.0000 0.0000 0.5000 1
F1 0.0158 0.5079 0.1182 1
F2 0.0603 0.5301 0.3433 1
```

Calculated values
ρ in g cm⁻³: 3.97
VASP energy in eV/f.u.: -99.7